ZrRe3 | GGA-PBE | relaxed

Geometry as CIF:
```
data_ZrRe3
_chemical_formula_sum 'Zr2 Re6'
_symmetry_space_group_name_H-M 'P 63/m m c'
_symmetry_Int_Tables_number 194
_symmetry_space_group_name_Hall '-P 6c 2c'
_cell_length_a 5.6619
_cell_length_b 5.6619
_cell_length_c 4.7763
_cell_angle_alpha 90.00
_cell_angle_beta 90.00
_cell_angle_gamma 120.00
loop_
_atom_site_label
_atom_site_type_symbol
_atom_site_fract_x
_atom_site_fract_y
_atom_site_fract_z
Zr1 Zr 0.3333 0.6667 0.2500
Re1 Re 0.1627 0.3255 0.7500
```

Values from the calculation:
E above lowest polymorph, eV per atom: 0.261
Formation energy, meV/atom: 250